Record 1
## Nd5Sn2Bi2 (GGA-PBE)

Data for an optimized crystal structure of Nd5Sn2Bi2.

Cell: 9.092 9.092 8.490 Å, 90.00 90.00 55.39°
Sites, in units of the cell vectors:
1 Nd 0.000 0.000 0.000
2 Nd 0.036 0.697 0.667
3 Nd 0.197 0.536 0.167
4 Nd 0.303 0.964 0.667
5 Nd 0.464 0.803 0.167
6 Nd 0.500 0.500 0.500
7 Nd 0.536 0.197 0.833
8 Nd 0.697 0.036 0.333
9 Nd 0.803 0.464 0.833
10 Nd 0.964 0.303 0.333
11 Sn 0.131 0.869 0.369
12 Sn 0.369 0.631 0.869
13 Sn 0.631 0.369 0.131
14 Sn 0.869 0.131 0.631
15 Bi 0.205 0.205 0.000
16 Bi 0.295 0.295 0.500
17 Bi 0.705 0.705 0.500
18 Bi 0.795 0.795 0.000

Results
**Crystal system**: orthorhombic

---

Record 2
## SrNdBi (GGA-PBE)

Data for an optimized crystal structure of SrNdBi.

Cell: 5.560 5.560 5.560 Å, 60.00 60.00 60.00°
Sites, in units of the cell vectors:
1 Sr 0.000 0.000 0.000
2 Nd 0.750 0.750 0.750
3 Bi 0.500 0.500 0.500

Results
**Crystal system**: cubic

---

Record 3
## NdTaBi (GGA-PBE)

Data for an optimized crystal structure of NdTaBi.

Cell: 4.983 4.983 4.983 Å, 60.00 60.00 60.00°
Sites, in units of the cell vectors:
1 Nd 0.000 0.000 0.000
2 Ta 0.500 0.500 0.500
3 Bi 0.250 0.250 0.250

Results
**Crystal system**: cubic

---

Record 4
## TbNd2Bi3 (GGA-PBE)

Data for an optimized crystal structure of TbNd2Bi3.

Cell: 4.540 4.540 11.160 Å, 90.00 90.00 120.00°
Sites, in units of the cell vectors:
1 Tb 0.000 0.000 0.000
2 Nd 0.333 0.667 0.330
3 Nd 0.667 0.333 0.670
4 Bi 0.000 0.000 0.500
5 Bi 0.333 0.667 0.840
6 Bi 0.667 0.333 0.160

Results
**Crystal system**: trigonal

---

Record 5
## TbNdBi (GGA-PBE)

Data for an optimized crystal structure of TbNdBi.

Cell: 5.260 5.260 5.260 Å, 60.00 60.00 60.00°
Sites, in units of the cell vectors:
1 Tb 0.000 0.000 0.000
2 Nd 0.500 0.500 0.500
3 Bi 0.750 0.750 0.750

Results
**Crystal system**: cubic

---

Record 6
## Tb2NdBi3 (GGA-PBE)

Data for an optimized crystal structure of Tb2NdBi3.

Cell: 4.511 4.511 11.064 Å, 90.00 90.00 120.00°
Sites, in units of the cell vectors:
1 Tb 0.333 0.667 0.336
2 Tb 0.667 0.333 0.664
3 Nd 0.000 0.000 0.000
4 Bi 0.000 0.000 0.500
5 Bi 0.333 0.667 0.827
6 Bi 0.667 0.333 0.173

Results
**Crystal system**: trigonal

---

Record 7
## TbNdBi2Te2 (GGA-PBE)

Data for an optimized crystal structure of TbNdBi2Te2.

Cell: 4.432 4.432 9.482 Å, 90.00 90.00 90.00°
Sites, in units of the cell vectors:
1 Tb 0.000 0.000 0.000
2 Nd 0.500 0.500 0.568
3 Bi 0.000 0.500 0.282
4 Bi 0.500 0.000 0.282
5 Te 0.000 0.000 0.664
6 Te 0.500 0.500 0.915

Results
**Crystal system**: tetragonal

---

Record 8
## Nd5Bi4Te (GGA-PBE)

Data for an optimized crystal structure of Nd5Bi4Te.

Cell: 7.930 7.930 7.930 Å, 99.59 99.59 131.82°
Sites, in units of the cell vectors:
1 Nd 0.000 0.000 0.000
2 Nd 0.199 0.399 0.598
3 Nd 0.399 0.801 0.200
4 Nd 0.601 0.199 0.800
5 Nd 0.801 0.601 0.402
6 Bi 0.100 0.701 0.801
7 Bi 0.299 0.100 0.399
8 Bi 0.701 0.900 0.601
9 Bi 0.900 0.299 0.199
10 Te 0.500 0.500 0.000

Results
**Crystal system**: tetragonal

---

Record 9
## Nd3BiTe2 (GGA-PBE)

Data for an optimized crystal structure of Nd3BiTe2.

Cell: 4.534 4.534 11.081 Å, 90.00 90.00 120.00°
Sites, in units of the cell vectors:
1 Nd 0.000 0.000 0.000
2 Nd 0.333 0.667 0.332
3 Nd 0.667 0.333 0.668
4 Bi 0.000 0.000 0.500
5 Te 0.333 0.667 0.835
6 Te 0.667 0.333 0.165

Results
**Crystal system**: trigonal

---

Record 10
## Nd3Bi2Te (GGA-PBE)

Data for an optimized crystal structure of Nd3Bi2Te.

Cell: 4.556 4.556 11.170 Å, 90.00 90.00 120.00°
Sites, in units of the cell vectors:
1 Nd 0.000 0.000 0.000
2 Nd 0.333 0.667 0.333
3 Nd 0.667 0.333 0.667
4 Bi 0.333 0.667 0.832
5 Bi 0.667 0.333 0.168
6 Te 0.000 0.000 0.500

Results
**Crystal system**: trigonal
**Excess energy over the best structure of this formula in the dataset**: 8 meV per atom

---

Record 11
## Nd3Bi2Te (GGA-PBE)

Data for an optimized crystal structure of Nd3Bi2Te.

Cell: 7.912 7.912 7.911 Å, 99.61 99.61 120.07°
Sites, in units of the cell vectors:
1 Nd 0.000 0.500 0.500
2 Nd 0.165 0.333 0.001
3 Nd 0.333 0.165 0.501
4 Nd 0.500 0.000 0.000
5 Nd 0.667 0.835 0.499
6 Nd 0.835 0.667 0.999
7 Bi 0.083 0.917 0.750
8 Bi 0.250 0.750 0.250
9 Bi 0.750 0.250 0.750
10 Bi 0.917 0.083 0.250
11 Te 0.416 0.584 0.750
12 Te 0.584 0.416 0.250

Results
**Crystal system**: monoclinic
**Excess energy over the best structure of this formula in the dataset**: 0 meV per atom

---

Record 12
## Nd5ThBi6 (GGA-PBE)

Data for an optimized crystal structure of Nd5ThBi6.

Cell: 7.965 7.965 7.966 Å, 99.59 99.59 119.97°
Sites, in units of the cell vectors:
1 Nd 0.000 0.000 0.000
2 Nd 0.166 0.834 0.500
3 Nd 0.333 0.667 0.000
4 Nd 0.667 0.333 0.000
5 Nd 0.834 0.166 0.500
6 Th 0.500 0.500 0.500
7 Bi 0.085 0.417 0.251
8 Bi 0.251 0.251 0.749
9 Bi 0.417 0.085 0.251
10 Bi 0.583 0.915 0.749
11 Bi 0.749 0.749 0.251
12 Bi 0.915 0.583 0.749

Results
**Crystal system**: monoclinic

---

| no. | VASP energy (eV/atom) |
| --- | --- |
| 1 | -5.29 |
| 2 | -3.48 |
| 3 | -6.32 |
| 4 | -5.32 |
| 5 | -4.87 |
| 6 | -5.28 |
| 7 | -5.01 |
| 8 | -5.40 |
| 9 | -5.39 |
| 10 | -5.39 |
| 11 | -5.40 |
| 12 | -5.55 |